Entry 1:
The following is a GGA-PBEsol calculation of crystalline HgPdCl2 at its relaxed geometry, from Alexandria via LeMat-Bulk.

Values from the calculation:
N(E_F) in states/eV/atom: 0.424

abc: 3.5436 3.5436 9.5103
angles: 79.26 79.26 60.00
Site moments in Bohr magnetons follow the coordinates.
Atoms (fractional coordinates):
Cl 0.8842 0.8842 0.3474  0.28
Pd 0.5000 0.5000 0.5000  1.02
Hg 0.0000 0.0000 0.0000  0.01
Cl 0.1158 0.1158 0.6526  0.28



Entry 2:
The following is a GGA-PBEsol calculation of crystalline CuAsN3 at its relaxed geometry, from Alexandria via LeMat-Bulk.

Values from the calculation:
N(E_F) in states/eV/atom: 0.836

abc: 3.7122 3.7122 3.7122
angles: 90.00 90.00 90.00
Site moments in Bohr magnetons follow the coordinates.
Atoms (fractional coordinates):
As 0.0000 0.0000 0.0000  -0.03
Cu 0.5000 0.5000 0.5000  0.30
N 0.5000 0.0000 0.0000  0.35
N 0.0000 0.0000 0.5000  0.35
N 0.0000 0.5000 0.0000  0.35



Entry 3:
The following is a GGA-PBEsol calculation of crystalline KSb2P at its relaxed geometry, from Alexandria via LeMat-Bulk.

Values from the calculation:
N(E_F) in states/eV/atom: 0.508

abc: 3.4994 5.6873 6.1684
angles: 117.45 106.48 90.00
Atoms (fractional coordinates):
Sb 0.6964 0.6964 0.3927
P 0.0000 0.5000 0.0000
K 0.5000 0.0000 0.0000
Sb 0.3036 0.3036 0.6073



Entry 4:
The following is a GGA-PBEsol calculation of crystalline Nb4CuC2S4 at its relaxed geometry, from Alexandria via LeMat-Bulk.

Values from the calculation:
N(E_F) in states/eV/atom: 0.307

abc: 3.2877 3.2877 17.6731
angles: 90.00 90.00 120.00
Atoms (fractional coordinates):
Nb 0.6667 0.3333 0.9438
Nb 0.3333 0.6667 0.0751
C 0.0000 0.0000 0.0081
S 0.6667 0.3333 0.1663
S 0.6667 0.3333 0.6515
C 0.0000 0.0000 0.4925
Nb 0.3333 0.6667 0.5583
Nb 0.6667 0.3333 0.4258
S 0.3333 0.6667 0.8448
S 0.3333 0.6667 0.3340
Cu 0.6667 0.3333 0.7739



Number 1: DFT total energy -11.1 eV for the cell shown. Number 2: DFT total energy -26.7 eV for the cell shown. Number 3: DFT total energy -16.2 eV for the cell shown. Number 4: DFT total energy -93.6 eV for the cell shown.